## Ti2WO2 (GGA+U)

Data for a geometry-optimized Ti2WO2 structure.

Lattice parameters (Å, degrees): 6.941 6.941 2.657 90.00 90.00 90.00
Fractional positions:
O 0.116 0.616 0.500
O 0.616 0.884 0.500
O 0.884 0.384 0.500
O 0.384 0.116 0.500
W 0.000 0.000 0.000
W 0.500 0.500 0.000
Ti 0.367 0.867 0.000
Ti 0.867 0.633 0.000
Ti 0.633 0.133 0.000
Ti 0.133 0.367 0.000

Computed properties:
Space group: P4/mbm (127)
Raw total energy in eV per cell: -70.7